No. 1
A geometry-optimized SrCrSe structure. Source: Alexandria via LeMat-Bulk, functional PBE.

Cell: 5.183 5.199 11.423 Å, 90.00 90.00 90.00°
Sites, in units of the cell vectors:
1 Sr 0.000 0.000 0.000
2 Sr 0.000 0.500 0.500
3 Sr 0.500 0.000 0.500
4 Sr 0.500 0.500 0.000
5 Cr 0.000 0.000 0.283
6 Cr 0.000 0.500 0.783
7 Cr 0.500 0.000 0.783
8 Cr 0.500 0.500 0.283
9 Se 0.000 0.000 0.705
10 Se 0.000 0.500 0.205
11 Se 0.500 0.000 0.205
12 Se 0.500 0.500 0.705

Its crystal system is orthorhombic. The energy relative to the lowest polymorph listed for this composition is 26.7 kJ/mol of atoms. The uncorrected formation energy is -0.705 eV per formula unit. The symmetry is Fmm2. For the density, the calculation gives 4.718 Mg/m³.

---

No. 2
A geometry-optimized TaCrSe2 structure. Source: Alexandria via LeMat-Bulk, functional PBE.

Cell: 6.501 6.501 6.501 Å, 90.00 90.00 90.00°
Sites, in units of the cell vectors:
1 Ta 0.000 0.000 0.000
2 Ta 0.000 0.500 0.500
3 Ta 0.500 0.000 0.500
4 Ta 0.500 0.500 0.000
5 Cr 0.250 0.250 0.250
6 Cr 0.250 0.750 0.750
7 Cr 0.750 0.250 0.750
8 Cr 0.750 0.750 0.250
9 Se 0.000 0.000 0.500
10 Se 0.000 0.500 0.000
11 Se 0.250 0.250 0.750
12 Se 0.250 0.750 0.250
13 Se 0.500 0.000 0.000
14 Se 0.500 0.500 0.500
15 Se 0.750 0.250 0.250
16 Se 0.750 0.750 0.750

Its crystal system is cubic. The energy relative to the lowest polymorph listed for this composition is 92.4 kJ/mol of atoms. The uncorrected formation energy is 2.181 eV per formula unit. The symmetry is F-43m. For the density, the calculation gives 9.451 Mg/m³.

---

No. 3
A geometry-optimized Ta2CrSe structure. Source: Alexandria via LeMat-Bulk, functional PBE.

Cell: 6.416 6.416 6.416 Å, 90.00 90.00 90.00°
Sites, in units of the cell vectors:
1 Ta 0.000 0.000 0.000
2 Ta 0.000 0.500 0.500
3 Ta 0.250 0.250 0.250
4 Ta 0.250 0.750 0.750
5 Ta 0.500 0.000 0.500
6 Ta 0.500 0.500 0.000
7 Ta 0.750 0.250 0.750
8 Ta 0.750 0.750 0.250
9 Cr 0.250 0.250 0.750
10 Cr 0.250 0.750 0.250
11 Cr 0.750 0.250 0.250
12 Cr 0.750 0.750 0.750
13 Se 0.000 0.000 0.500
14 Se 0.000 0.500 0.000
15 Se 0.500 0.000 0.000
16 Se 0.500 0.500 0.500

Its crystal system is cubic. The uncorrected formation energy is 1.941 eV per formula unit. The symmetry is F-43m. For the density, the calculation gives 12.395 Mg/m³.

---

No. 4
A geometry-optimized TaCrSe2 structure. Source: Alexandria via LeMat-Bulk, functional PBE.

Cell: 3.406 3.406 6.835 Å, 90.00 90.00 90.00°
Sites, in units of the cell vectors:
1 Ta 0.000 0.000 0.000
2 Cr 0.500 0.500 0.242
3 Se 0.000 0.000 0.379
4 Se 0.500 0.500 0.832

Its crystal system is tetragonal. The energy relative to the lowest polymorph listed for this composition is 8.4 kJ/mol of atoms. The uncorrected formation energy is -1.300 eV per formula unit. The symmetry is P4mm. For the density, the calculation gives 8.186 Mg/m³.

---

No. 5
A geometry-optimized TaCrSe2 structure. Source: Alexandria via LeMat-Bulk, functional PBE.

Cell: 3.205 3.205 25.193 Å, 90.00 90.00 120.00°
Sites, in units of the cell vectors:
1 Ta 0.000 0.000 0.000
2 Ta 0.333 0.667 0.667
3 Ta 0.667 0.333 0.333
4 Cr 0.000 0.000 0.500
5 Cr 0.333 0.667 0.167
6 Cr 0.667 0.333 0.833
7 Se 0.000 0.000 0.406
8 Se 0.000 0.000 0.594
9 Se 0.333 0.667 0.073
10 Se 0.333 0.667 0.260
11 Se 0.667 0.333 0.740
12 Se 0.667 0.333 0.927

Its crystal system is trigonal. The energy relative to the lowest polymorph listed for this composition is 54.8 kJ/mol of atoms. The uncorrected formation energy is 0.622 eV per formula unit. The symmetry is R-3m. For the density, the calculation gives 8.688 Mg/m³.

---

No. 6
A geometry-optimized TaCrSe2 structure. Source: Alexandria via LeMat-Bulk, functional PBE.

Cell: 3.237 3.237 27.585 Å, 90.00 90.00 120.00°
Sites, in units of the cell vectors:
1 Ta 0.000 0.000 0.000
2 Ta 0.333 0.667 0.667
3 Ta 0.667 0.333 0.333
4 Cr 0.000 0.000 0.258
5 Cr 0.333 0.667 0.925
6 Cr 0.667 0.333 0.591
7 Se 0.000 0.000 0.535
8 Se 0.000 0.000 0.731
9 Se 0.333 0.667 0.202
10 Se 0.333 0.667 0.398
11 Se 0.667 0.333 0.065
12 Se 0.667 0.333 0.868

Its crystal system is trigonal. The energy relative to the lowest polymorph listed for this composition is 12.6 kJ/mol of atoms. The uncorrected formation energy is -1.128 eV per formula unit. The symmetry is R3m. For the density, the calculation gives 7.779 Mg/m³.

---

No. 7
A geometry-optimized TaCrSe2 structure. Source: Alexandria via LeMat-Bulk, functional PBE.

Cell: 5.917 5.917 11.067 Å, 90.00 90.00 90.00°
Sites, in units of the cell vectors:
1 Ta 0.000 0.000 0.000
2 Ta 0.000 0.500 0.250
3 Ta 0.500 0.000 0.750
4 Ta 0.500 0.500 0.500
5 Cr 0.000 0.000 0.500
6 Cr 0.000 0.500 0.750
7 Cr 0.500 0.000 0.250
8 Cr 0.500 0.500 0.000
9 Se 0.248 0.250 0.625
10 Se 0.250 0.748 0.875
11 Se 0.250 0.752 0.375
12 Se 0.252 0.250 0.125
13 Se 0.748 0.750 0.125
14 Se 0.750 0.248 0.375
15 Se 0.750 0.252 0.875
16 Se 0.752 0.750 0.625

Its crystal system is tetragonal. The energy relative to the lowest polymorph listed for this composition is 49.0 kJ/mol of atoms. The uncorrected formation energy is 0.381 eV per formula unit. The symmetry is I-42d. For the density, the calculation gives 6.700 Mg/m³.

---

No. 8
A geometry-optimized TaCrSe3 structure. Source: Alexandria via LeMat-Bulk, functional PBE.

Cell: 6.324 3.531 10.545 Å, 90.00 102.02 90.00°
Sites, in units of the cell vectors:
1 Ta 0.002 0.250 0.149
2 Ta 0.998 0.750 0.851
3 Cr 0.374 0.250 0.780
4 Cr 0.626 0.750 0.220
5 Se 0.180 0.750 0.650
6 Se 0.266 0.750 0.282
7 Se 0.268 0.250 0.989
8 Se 0.732 0.750 0.011
9 Se 0.734 0.250 0.718
10 Se 0.820 0.250 0.350

Its crystal system is monoclinic. The energy relative to the lowest polymorph listed for this composition is 0.0 kJ/mol of atoms. The uncorrected formation energy is -2.397 eV per formula unit. The symmetry is P2_1/m. For the density, the calculation gives 6.775 Mg/m³.

---

No. 9
A geometry-optimized Ta2CrSe structure. Source: Alexandria via LeMat-Bulk, functional PBE.

Cell: 3.206 3.217 6.374 Å, 90.00 96.51 90.00°
Sites, in units of the cell vectors:
1 Ta 0.015 0.000 0.228
2 Ta 0.985 0.000 0.772
3 Cr 0.500 0.500 0.000
4 Se 0.500 0.500 0.500

Its crystal system is monoclinic. The uncorrected formation energy is 0.206 eV per formula unit. The symmetry is P2/m. For the density, the calculation gives 12.529 Mg/m³.

---

No. 10
A geometry-optimized Ta2CrSe structure. Source: Alexandria via LeMat-Bulk, functional PBE.

Cell: 4.188 4.188 7.414 Å, 90.00 90.00 90.00°
Sites, in units of the cell vectors:
1 Ta 0.000 0.500 0.250
2 Ta 0.000 0.500 0.750
3 Ta 0.500 0.000 0.250
4 Ta 0.500 0.000 0.750
5 Cr 0.000 0.000 0.000
6 Cr 0.500 0.500 0.500
7 Se 0.000 0.000 0.500
8 Se 0.500 0.500 0.000

Its crystal system is tetragonal. The uncorrected formation energy is 1.152 eV per formula unit. The symmetry is I4/mmm. For the density, the calculation gives 12.588 Mg/m³.

---

No. 11
A geometry-optimized Ta2Cr2Se7 structure. Source: Alexandria via LeMat-Bulk, functional PBE.

Cell: 6.619 6.619 6.961 Å, 93.15 93.15 112.23°
Sites, in units of the cell vectors:
1 Ta 0.143 0.857 0.000
2 Ta 0.857 0.143 0.000
3 Cr 0.241 0.241 0.659
4 Cr 0.759 0.759 0.341
5 Se 0.049 0.460 0.791
6 Se 0.099 0.099 0.279
7 Se 0.460 0.049 0.791
8 Se 0.500 0.500 0.500
9 Se 0.540 0.951 0.209
10 Se 0.901 0.901 0.721
11 Se 0.951 0.540 0.209

Its crystal system is monoclinic. The uncorrected formation energy is -4.149 eV per formula unit. The symmetry is C2/m. For the density, the calculation gives 6.020 Mg/m³.

---

No. 12
A geometry-optimized Ta2CrSe2 structure. Source: Alexandria via LeMat-Bulk, functional PBE.

Cell: 7.241 7.241 3.252 Å, 90.00 90.00 90.00°
Sites, in units of the cell vectors:
1 Ta 0.150 0.350 0.000
2 Ta 0.350 0.850 0.000
3 Ta 0.650 0.150 0.000
4 Ta 0.850 0.650 0.000
5 Cr 0.000 0.000 0.500
6 Cr 0.500 0.500 0.500
7 Se 0.151 0.651 0.500
8 Se 0.349 0.151 0.500
9 Se 0.651 0.849 0.500
10 Se 0.849 0.349 0.500

Its crystal system is tetragonal. The uncorrected formation energy is 0.829 eV per formula unit. The symmetry is P4/mbm. For the density, the calculation gives 11.138 Mg/m³.